# 1
Tc2HIr: optimized geometry, PBE.

a = 2.771 Å, b = 2.771 Å, c = 7.490 Å
α = 79.34°, β = 79.34°, γ = 60.00°
Atoms (fractional coordinates):
H1 0.500 0.500 0.500
Tc1 0.117 0.117 0.649
Ir1 0.000 0.000 0.000
Tc2 0.883 0.883 0.351

Total magnetization, Bohr magnetons per cell: 0.00
Space group: R-3m
Offset from the most stable computed form, eV/atom: 0.463

# 2
MnRePb2: optimized geometry, PBE.

a = 3.058 Å, b = 3.058 Å, c = 9.322 Å
α = 90.00°, β = 90.00°, γ = 90.00°
Atoms (fractional coordinates):
Re1 0.000 0.000 0.564
Mn1 0.500 0.500 0.694
Pb1 0.500 0.500 0.319
Pb2 0.000 0.000 0.922

Total magnetization, Bohr magnetons per cell: 0.00
Space group: P4mm
Offset from the most stable computed form, eV/atom: 0.000
Energy of formation, eV/f.u.: 1.7

# 3
La6IrPt2Cl3: optimized geometry, PBE.

a = 7.348 Å, b = 7.348 Å, c = 7.982 Å
α = 98.80°, β = 98.80°, γ = 120.03°
Atoms (fractional coordinates):
La1 0.606 0.931 0.793
La2 0.069 0.394 0.207
Cl1 0.836 0.164 0.500
Pt1 0.333 0.667 0.000
La3 0.931 0.606 0.793
Ir1 0.000 0.000 0.000
Pt2 0.667 0.333 0.000
La4 0.394 0.069 0.207
La5 0.257 0.257 0.793
Cl2 0.164 0.836 0.500
Cl3 0.500 0.500 0.500
La6 0.743 0.743 0.207

Uncorrected formation energy, eV per formula unit: -17.00
Total magnetization, Bohr magnetons per cell: 0.00
Space group: C2/m

# 4
AgHgPd2: optimized geometry, PBE.

a = 4.609 Å, b = 4.609 Å, c = 4.609 Å
α = 60.00°, β = 60.00°, γ = 60.00°
Atoms (fractional coordinates):
Ag1 0.000 0.000 0.000
Pd1 0.250 0.250 0.250
Hg1 0.500 0.500 0.500
Pd2 0.750 0.750 0.750

Total magnetization, Bohr magnetons per cell: 0.00
Space group: Fm-3m
Offset from the most stable computed form, eV/atom: 0.002
Energy of formation, eV/f.u.: -0.5

# 5
Dy12Bi6Os: optimized geometry, PBE.

a = 8.680 Å, b = 8.680 Å, c = 8.680 Å
α = 99.70°, β = 99.70°, γ = 99.70°
Atoms (fractional coordinates):
Dy1 0.311 0.059 0.996
Dy2 0.459 0.798 0.587
Os1 0.000 0.000 0.000
Bi1 0.320 0.117 0.650
Dy3 0.004 0.689 0.941
Dy4 0.689 0.941 0.004
Dy5 0.941 0.004 0.689
Dy6 0.587 0.459 0.798
Dy7 0.413 0.541 0.202
Dy8 0.798 0.587 0.459
Bi2 0.680 0.883 0.350
Dy9 0.202 0.413 0.541
Bi3 0.117 0.650 0.320
Bi4 0.883 0.350 0.680
Dy10 0.996 0.311 0.059
Dy11 0.541 0.202 0.413
Dy12 0.059 0.996 0.311
Bi5 0.350 0.680 0.883
Bi6 0.650 0.320 0.117

Total magnetization, Bohr magnetons per cell: 0.00
Space group: R-3
Energy of formation, eV/f.u.: -8.5

# 6
SrSc2O4: optimized geometry, PBE.

a = 6.596 Å, b = 6.596 Å, c = 6.596 Å
α = 60.00°, β = 60.00°, γ = 60.00°
Atoms (fractional coordinates):
O1 0.355 0.355 0.935
Sc1 0.125 0.625 0.125
Sc2 0.625 0.125 0.125
O2 0.895 0.895 0.315
Sr1 0.750 0.750 0.750
Sc3 0.125 0.125 0.625
O3 0.355 0.355 0.355
Sc4 0.125 0.125 0.125
O4 0.355 0.935 0.355
O5 0.315 0.895 0.895
Sr2 0.500 0.500 0.500
O6 0.935 0.355 0.355
O7 0.895 0.315 0.895
O8 0.895 0.895 0.895

Uncorrected formation energy, eV per formula unit: -23.17
Total magnetization, Bohr magnetons per cell: 0.00
Space group: Fd-3m
Offset from the most stable computed form, eV/atom: 0.032

# 7
ErCo2H7: optimized geometry, PBE.

a = 3.429 Å, b = 4.726 Å, c = 4.726 Å
α = 116.17°, β = 90.00°, γ = 90.00°
Atoms (fractional coordinates):
H1 0.500 0.328 0.050
Co1 0.500 0.303 0.697
Er1 0.000 0.000 0.000
H2 0.500 0.672 0.950
H3 0.000 0.305 0.695
Co2 0.500 0.697 0.303
H4 0.000 0.695 0.305
H5 0.500 0.500 0.500
H6 0.500 0.950 0.672
H7 0.500 0.050 0.328

Total magnetization, Bohr magnetons per cell: 0.01
Space group: Cmmm
Total energy, hartree per atom: -0.1632

# 8
Th4SnPt15: optimized geometry, PBE.

a = 4.210 Å, b = 4.210 Å, c = 20.931 Å
α = 90.00°, β = 90.00°, γ = 90.00°
Atoms (fractional coordinates):
Th1 0.000 0.000 0.602
Pt1 0.500 0.000 0.297
Pt2 0.500 0.000 0.905
Pt3 0.500 0.000 0.703
Pt4 0.500 0.500 0.195
Pt5 0.500 0.000 0.095
Pt6 0.000 0.500 0.095
Th2 0.000 0.000 0.398
Th3 0.000 0.000 0.805
Pt7 0.500 0.000 0.500
Pt8 0.500 0.500 0.805
Pt9 0.000 0.500 0.703
Pt10 0.500 0.500 0.000
Th4 0.000 0.000 0.195
Pt11 0.500 0.500 0.398
Pt12 0.500 0.500 0.602
Pt13 0.000 0.500 0.297
Pt14 0.000 0.500 0.500
Sn1 0.000 0.000 0.000
Pt15 0.000 0.500 0.905

Total magnetization, Bohr magnetons per cell: 0.00
Space group: P4/mmm
Energy of formation, eV/f.u.: -19.1